1.
## RbZn2O (GGA-PBE)

Data for a relaxed structure of RbZn2O. Values from VASP.

Values from the calculation:
The calculation puts the density at 3.526 g/cm3. For the raw total energy, the calculation gives -2.2840 eV/atom. As for the space group: Fd-3m. The volume comes out at 27.35 A^3/atom.

```
&SYSTEM
  ibrav = 0, nat = 8, ntyp = 3
/
ATOMIC_SPECIES
Rb 85.47 Rb.upf
Zn 65.41 Zn.upf
O 16.00 O.upf
CELL_PARAMETERS angstrom
0.000 4.783 4.783
4.783 0.000 4.783
4.783 4.783 0.000
ATOMIC_POSITIONS crystal
Rb 0.125 0.125 0.125
Rb 0.875 0.875 0.875
Zn 0.000 0.500 0.500
Zn 0.500 0.000 0.500
Zn 0.500 0.500 0.000
Zn 0.500 0.500 0.500
O 0.375 0.375 0.375
O 0.625 0.625 0.625
```

=====

2.
## ErThGaHg (GGA-PBE)

Data for a relaxed structure of ErThGaHg. Values from VASP.

Values from the calculation:
The calculation puts the density at 10.903 g/cm3. For the energy of formation from the pure elements, the calculation gives -0.38 eV/atom. As for the space group: F-43m. The volume comes out at 25.50 A^3/atom.

```
&SYSTEM
  ibrav = 0, nat = 16, ntyp = 4
/
ATOMIC_SPECIES
Er 167.26 Er.upf
Th 232.04 Th.upf
Ga 69.72 Ga.upf
Hg 200.59 Hg.upf
CELL_PARAMETERS angstrom
7.416 0.000 0.000
0.000 7.416 0.000
0.000 0.000 7.416
ATOMIC_POSITIONS crystal
Er 0.000 0.000 0.000
Er 0.000 0.500 0.500
Er 0.500 0.000 0.500
Er 0.500 0.500 0.000
Th 0.000 0.000 0.500
Th 0.000 0.500 0.000
Th 0.500 0.000 0.000
Th 0.500 0.500 0.500
Ga 0.250 0.250 0.250
Ga 0.250 0.750 0.750
Ga 0.750 0.250 0.750
Ga 0.750 0.750 0.250
Hg 0.250 0.250 0.750
Hg 0.250 0.750 0.250
Hg 0.750 0.250 0.250
Hg 0.750 0.750 0.750
```

=====

3.
## BiAu (GGA-PBE)

Data for a relaxed structure of BiAu. Values from VASP.

Values from the calculation:
The calculation puts the density at 10.044 g/cm3. For the energy of formation from the pure elements, the calculation gives 0.22 eV/atom. As for the space group: F-43m. The volume comes out at 33.56 A^3/atom.

```
&SYSTEM
  ibrav = 0, nat = 8, ntyp = 2
/
ATOMIC_SPECIES
Bi 208.98 Bi.upf
Au 196.97 Au.upf
CELL_PARAMETERS angstrom
6.451 0.000 0.000
0.000 6.451 0.000
0.000 0.000 6.451
ATOMIC_POSITIONS crystal
Bi 0.000 0.000 0.000
Bi 0.000 0.500 0.500
Bi 0.500 0.000 0.500
Bi 0.500 0.500 0.000
Au 0.250 0.250 0.250
Au 0.250 0.750 0.750
Au 0.750 0.250 0.750
Au 0.750 0.750 0.250
```

=====

4.
## La2FeRu2 (GGA-PBE)

Data for a relaxed structure of La2FeRu2. Values from VASP.

Values from the calculation:
The calculation puts the density at 8.715 g/cm3. For the energy of formation from the pure elements, the calculation gives 0.12 eV/atom. As for the space group: P4/mbm. The volume comes out at 20.42 A^3/atom.

```
&SYSTEM
  ibrav = 0, nat = 10, ntyp = 3
/
ATOMIC_SPECIES
La 138.91 La.upf
Fe 55.84 Fe.upf
Ru 101.07 Ru.upf
CELL_PARAMETERS angstrom
6.630 0.000 0.000
0.000 6.630 0.000
0.000 0.000 4.645
ATOMIC_POSITIONS crystal
La 0.182 0.318 0.000
La 0.318 0.818 0.000
La 0.682 0.182 0.000
La 0.818 0.682 0.000
Fe 0.000 0.000 0.500
Fe 0.500 0.500 0.500
Ru 0.149 0.649 0.500
Ru 0.351 0.149 0.500
Ru 0.649 0.851 0.500
Ru 0.851 0.351 0.500
```

=====

5.
## P4C3 (GGA-PBE)

Data for a relaxed structure of P4C3. Values from VASP.

Values from the calculation:
The energy above the most stable polymorph in this dataset is 1.614 eV/atom. The calculation puts the density at 3.172 g/cm3. For the energy of formation from the pure elements, the calculation gives 2.12 eV/atom. As for the space group: P6/mmm. The volume comes out at 11.96 A^3/atom.

```
&SYSTEM
  ibrav = 0, nat = 7, ntyp = 2
/
ATOMIC_SPECIES
P 30.97 P.upf
C 12.01 C.upf
CELL_PARAMETERS angstrom
3.773 0.000 0.000
-1.886 3.267 0.000
0.000 0.000 6.791
ATOMIC_POSITIONS crystal
P 0.000 0.000 0.208
P 0.000 0.000 0.792
P 0.333 0.667 0.500
P 0.667 0.333 0.500
C 0.000 0.500 0.000
C 0.500 0.000 0.000
C 0.500 0.500 0.000
```

=====

6.
## In2SbTe (GGA-PBE)

Data for a relaxed structure of In2SbTe. Values from VASP.

Values from the calculation:
The energy above the most stable polymorph in this dataset is 0.183 eV/atom. The calculation puts the density at 6.685 g/cm3. As for the space group: Imm2. The volume comes out at 29.75 A^3/atom.

```
&SYSTEM
  ibrav = 0, nat = 8, ntyp = 3
/
ATOMIC_SPECIES
In 114.82 In.upf
Sb 121.76 Sb.upf
Te 127.60 Te.upf
CELL_PARAMETERS angstrom
4.096 0.000 0.000
0.000 4.890 0.000
0.000 0.000 11.880
ATOMIC_POSITIONS crystal
In 0.000 0.000 0.000
In 0.000 0.500 0.191
In 0.500 0.000 0.691
In 0.500 0.500 0.500
Sb 0.000 0.500 0.728
Sb 0.500 0.000 0.228
Te 0.000 0.000 0.434
Te 0.500 0.500 0.934
```